## YErAl (PBE)

Data for YErAl after structural relaxation.

Properties
Total magnetization   0.00 μB per cell
Formation enthalpy at 0 K   -267 meV per atom
SG   I4mm, No. 107

Unit cell a=7.115 b=7.115 c=7.115 alpha=152.06 beta=152.06 gamma=39.93
Sites, in units of the cell vectors:
Y 0.000 0.000 0.000
Er 0.703 0.703 0.000
Al 0.350 0.350 0.000